(1)
A plane-wave DFT calculation with PBE was carried out for crystalline Hf4Ti5Pb at its relaxed geometry.

The structure in POSCAR format:
```
Hf4Ti5Pb
1.0
7.226 -1.501 0.000
7.226 1.501 0.000
-3.086 0.000 9.317
Hf Ti Pb
4 5 1
Cartesian
0.441 0.000 2.834
4.913 0.000 2.023
6.453 0.000 7.294
10.925 0.000 6.484
2.573 0.000 0.638
1.219 0.000 5.595
5.683 0.000 4.659
10.146 0.000 3.722
8.792 0.000 8.679
7.226 0.000 0.000
```

Calculated values
ΔH_f (0 K)   13.27 kJ/mol of atoms

(2)
A plane-wave DFT calculation with PBE was carried out for crystalline Hf2ZrPa at its relaxed geometry.

The structure in POSCAR format:
```
Hf2ZrPa
1.0
1.595 0.921 10.639
-1.595 0.921 10.639
0.000 -1.841 10.639
Hf Zr Pa
2 1 1
Cartesian
0.000 0.000 7.924
0.000 0.000 23.992
0.000 0.000 15.958
0.000 0.000 0.000
```

Calculated values
Excess energy over the best structure of this formula in the dataset   0.0637 eV/atom
ΔH_f (0 K)   10.05 kJ/mol of atoms

(3)
A plane-wave DFT calculation with PBE was carried out for crystalline TbSmScCu at its relaxed geometry.

The structure in POSCAR format:
```
TbSmScCu
1.0
0.000 3.677 3.677
3.677 0.000 3.677
3.677 3.677 0.000
Tb Sm Sc Cu
1 1 1 1
Cartesian
0.000 0.000 0.000
3.677 3.677 3.677
1.838 1.838 1.838
5.515 5.515 5.515
```

Calculated values
ΔH_f (0 K)   12.58 kJ/mol of atoms

(4)
A plane-wave DFT calculation with PBE was carried out for crystalline Mg6CdFe at its relaxed geometry.

The structure in POSCAR format:
```
Mg6CdFe
1.0
4.885 0.000 0.000
0.000 3.096 5.329
0.000 -3.096 5.329
Mg Cd Fe
6 1 1
Cartesian
0.000 0.000 0.000
0.000 -1.474 2.717
0.000 1.474 2.717
0.000 0.000 5.256
2.442 -1.538 6.223
2.442 1.538 6.223
2.442 0.000 8.885
2.442 0.000 3.587
```

Calculated values
ΔH_f (0 K)   10.03 kJ/mol of atoms

(5)
A plane-wave DFT calculation with PBE was carried out for crystalline HoBe17Os at its relaxed geometry.

The structure in POSCAR format:
```
HoBe17Os
1.0
3.732 2.155 3.615
-3.732 2.155 3.615
0.000 -4.310 3.615
Ho Be Os
1 17 1
Cartesian
0.000 0.000 0.000
0.000 -2.064 1.857
-1.788 1.032 1.857
-1.896 -1.094 5.346
0.000 -2.052 5.169
-1.777 1.026 5.169
-1.047 -1.928 7.144
-2.193 0.057 7.144
1.788 1.032 1.857
0.000 0.000 6.040
1.047 -1.928 7.144
-1.146 1.871 7.144
1.896 -1.094 5.346
0.000 2.189 5.346
0.000 0.000 8.138
1.777 1.026 5.169
2.193 0.057 7.144
1.146 1.871 7.144
0.000 0.000 3.609
```

Calculated values
ΔH_f (0 K)   -9.12 kJ/mol of atoms

(6)
A plane-wave DFT calculation with PBE was carried out for crystalline Dy5Au2 at its relaxed geometry.

The structure in POSCAR format:
```
Dy5Au2
1.0
8.293 -3.415 0.000
8.293 3.415 0.000
-0.671 0.000 6.936
Dy Au
10 4
Cartesian
7.790 3.088 5.202
3.506 0.399 2.046
3.170 -0.399 5.514
6.702 0.839 0.350
9.548 0.839 3.118
6.366 -0.839 3.818
9.213 -0.839 6.586
12.745 0.399 1.422
12.409 -0.399 4.890
8.125 -3.088 1.734
6.146 1.939 3.074
10.105 1.939 0.394
5.810 -1.939 6.542
9.769 -1.939 3.862
```

Calculated values
ΔH_f (0 K)   -48.92 kJ/mol of atoms

(7)
A plane-wave DFT calculation with PBE was carried out for crystalline BeCoReTc at its relaxed geometry.

The structure in POSCAR format:
```
BeCoReTc
1.0
0.000 2.926 2.926
2.926 0.000 2.926
2.926 2.926 0.000
Be Co Re Tc
1 1 1 1
Cartesian
0.000 0.000 0.000
4.389 4.389 4.389
2.926 2.926 2.926
1.463 1.463 1.463
```

Calculated values
ΔH_f (0 K)   3.10 kJ/mol of atoms

(8)
A plane-wave DFT calculation with PBE was carried out for crystalline LaPr14Tl at its relaxed geometry.

The structure in POSCAR format:
```
LaPr14Tl
1.0
7.340 0.000 0.000
0.000 7.340 0.000
0.000 0.000 10.419
La Pr Tl
1 14 1
Cartesian
0.000 0.000 0.000
0.000 0.000 5.209
0.000 3.670 0.000
0.000 3.670 5.209
1.860 1.860 2.559
1.860 1.860 7.860
1.860 5.480 2.559
1.860 5.480 7.860
3.670 0.000 0.000
3.670 0.000 5.209
3.670 3.670 5.209
5.480 1.860 2.559
5.480 1.860 7.860
5.480 5.480 2.559
5.480 5.480 7.860
3.670 3.670 0.000
```

Calculated values
ΔH_f (0 K)   -2.57 kJ/mol of atoms

(9)
A plane-wave DFT calculation with PBE was carried out for crystalline Ce2YMn at its relaxed geometry.

The structure in POSCAR format:
```
Ce2YMn
1.0
1.836 1.060 8.887
-1.836 1.060 8.887
0.000 -2.120 8.887
Ce Y Mn
2 1 1
Cartesian
0.000 0.000 5.982
0.000 0.000 20.680
0.000 0.000 0.000
0.000 0.000 13.331
```

Calculated values
Excess energy over the best structure of this formula in the dataset   0.0207 eV/atom
ΔH_f (0 K)   23.98 kJ/mol of atoms

(10)
A plane-wave DFT calculation with PBE was carried out for crystalline CaLaPrZn at its relaxed geometry.

The structure in POSCAR format:
```
CaLaPrZn
1.0
3.698 0.000 0.000
0.000 3.698 0.000
0.000 0.000 9.339
Ca La Pr Zn
1 1 1 1
Cartesian
0.000 0.000 0.000
0.000 0.000 5.582
1.849 1.849 2.941
1.849 1.849 7.492
```

Calculated values
Excess energy over the best structure of this formula in the dataset   0.0000 eV/atom
ΔH_f (0 K)   -11.11 kJ/mol of atoms

(11)
A plane-wave DFT calculation with PBE was carried out for crystalline PmTm2Th at its relaxed geometry.

The structure in POSCAR format:
```
PmTm2Th
1.0
3.544 0.000 0.000
-1.759 6.524 0.000
-0.001 -0.107 11.053
Pm Tm Th
2 4 2
Cartesian
0.004 1.639 5.345
1.780 4.778 5.707
0.004 3.234 8.342
0.010 6.216 2.726
1.774 0.201 8.327
1.780 3.183 2.710
0.008 1.668 0.184
1.777 4.749 10.868
```

Calculated values
Excess energy over the best structure of this formula in the dataset   0.0221 eV/atom
ΔH_f (0 K)   3.47 kJ/mol of atoms

(12)
A plane-wave DFT calculation with PBE was carried out for crystalline MgCrAgCl6 at its relaxed geometry.

The structure in POSCAR format:
```
MgCrAgCl6
1.0
6.293 0.000 0.000
-3.146 5.450 0.000
0.000 0.000 12.024
Mg Cr Ag Cl
2 2 2 12
Cartesian
0.000 3.633 3.006
3.146 1.817 9.018
0.000 3.633 9.018
3.146 1.817 3.006
0.000 0.000 0.000
0.000 0.000 6.012
-1.052 2.008 7.651
-1.933 3.534 10.385
1.052 2.008 10.385
-0.881 5.357 7.651
2.265 0.093 1.639
1.213 1.915 4.373
1.933 3.534 7.651
0.881 5.357 10.385
4.027 0.093 4.373
2.094 3.441 1.639
5.080 1.915 1.639
4.198 3.441 4.373
```

Calculated values
Energy relative to the elements, uncorrected   -1196 meV per atom